# AgMo2Rh

AgMo2Rh at its PBEsol-relaxed geometry (SCAN, Alexandria via LeMat-Bulk).

The space group is I-4m2 (No. 119) and the conventional cell measures 3.959, 3.959 and 7.647 Å, with angles of 90.00, 90.00 and 90.00 degrees. The inequivalent atoms are Ag at (0.000, 0.000, 0.000), Mo at (0.000, 0.000, 0.500), Mo at (0.000, 0.500, 0.250) and Rh at (0.000, 0.500, 0.750).

For the size of the total moment, the calculation gives 0.0 μB/cell. The volume is 119.83 Å³ per cell. Its crystal system is tetragonal. As for the formation energy: 36 kJ per mole of atoms.

---

# Ag2MoRu

Ag2MoRu at its PBEsol-relaxed geometry (SCAN, Alexandria via LeMat-Bulk).

The space group is F-43m (No. 216) and the conventional cell measures 6.268, 6.268 and 6.268 Å, with angles of 90.00, 90.00 and 90.00 degrees. The inequivalent atoms are Ag at (0.000, 0.000, 0.000), Ag at (0.250, 0.250, 0.250), Mo at (0.000, 0.000, 0.500) and Ru at (0.250, 0.250, 0.750).

The calculation puts the energy above the most stable polymorph in this dataset at 0.0615 eV per atom. For the size of the total moment, the calculation gives 0.1 μB/cell. The volume is 246.23 Å³ per cell. Its crystal system is cubic. As for the formation energy: 62 kJ per mole of atoms.

---

# Ag2MoRu

Ag2MoRu at its PBEsol-relaxed geometry (SCAN, Alexandria via LeMat-Bulk).

The space group is Cmmm (No. 65) and the conventional cell measures 2.926, 4.392 and 9.609 Å, with angles of 90.00, 90.00 and 90.00 degrees. The inequivalent atoms are Ag at (0.000, 0.000, 0.247), Mo at (0.000, 0.500, 0.500) and Ru at (0.000, 0.500, 0.000).

The calculation puts the energy above the most stable polymorph in this dataset at 0.0448 eV per atom. For the size of the total moment, the calculation gives 0.0 μB/cell. The volume is 123.46 Å³ per cell. Its crystal system is orthorhombic. As for the formation energy: 60 kJ per mole of atoms.

---

# Ag2MoRu

Ag2MoRu at its PBEsol-relaxed geometry (SCAN, Alexandria via LeMat-Bulk).

The space group is P2/m (No. 10) and the conventional cell measures 2.672, 4.420 and 5.160 Å, with angles of 90.00, 90.10 and 90.00 degrees. The inequivalent atoms are Ag at (0.000, 0.000, 0.249), Mo at (0.500, 0.500, 0.500) and Ru at (0.500, 0.500, 0.000).

The calculation puts the energy above the most stable polymorph in this dataset at 0.0000 eV per atom. For the size of the total moment, the calculation gives 0.0 μB/cell. The volume is 60.94 Å³ per cell. Its crystal system is monoclinic. As for the formation energy: 56 kJ per mole of atoms.

---

# AgMoRu3

AgMoRu3 at its PBEsol-relaxed geometry (SCAN, Alexandria via LeMat-Bulk).

The space group is Pm-3m (No. 221) and the conventional cell measures 4.596, 4.596 and 4.596 Å, with angles of 90.00, 90.00 and 90.00 degrees. The inequivalent atoms are Ag at (0.000, 0.000, 0.000), Mo at (0.500, 0.500, 0.500) and Ru at (0.000, 0.000, 0.500).

For the size of the total moment, the calculation gives 2.2 μB/cell. The volume is 97.11 Å³ per cell. Its crystal system is cubic. As for the formation energy: 253 kJ per mole of atoms.

---

# ZrAg2MoS

ZrAg2MoS at its PBEsol-relaxed geometry (SCAN, Alexandria via LeMat-Bulk).

The space group is P4/mmm (No. 123) and the conventional cell measures 5.095, 5.095 and 4.638 Å, with angles of 90.00, 90.00 and 90.00 degrees. The inequivalent atoms are Zr at (0.000, 0.000, 0.000), Ag at (0.000, 0.500, 0.000), Mo at (0.000, 0.000, 0.500) and S at (0.500, 0.500, 0.500).

For the size of the total moment, the calculation gives 0.5 μB/cell. The volume is 120.41 Å³ per cell. Its crystal system is tetragonal. The value obtained for the formation energy (no corrections) is 39.06 kcal/mol of atoms.

---

Short version: total energy = -266.8, -519.6, -259.9, -130.1, -157.6, -129.5 eV/cell, in the order given.